(1)
{"formula": "LiAl2Ag5", "functional": "PBE", "state": "optimized geometry", "lattice": [[5.2990, -0.0911, -1.7540], [-2.7839, 4.5092, -1.7554], [0.0485, 0.0871, 5.5816]], "species": ["Al", "Al", "Li", "Ag", "Ag", "Ag", "Ag", "Ag"], "fractional_positions": [[0.2778, 0.7780, 0.5000], [0.7778, 0.2780, 0.5000], [0.7782, 0.7779, 0.0000], [0.2776, 0.2772, 0.0000], [0.7779, 0.2780, 0.0000], [0.2780, 0.2783, 0.5004], [0.7776, 0.7779, 0.4996], [0.2782, 0.7776, 0.0000]], "crystal_system": "tetragonal", "n_ef_per_ev_cell": 3.6, "polymorph_energy_mev_per_atom": 0, "m_tot_mub_per_fu": 0.000, "formation_energy_ev_per_atom": -0.11, "final_energy_ev_per_atom": -3.0658}

---

(2)
{"formula": "TlAg2Bi", "functional": "PBE", "state": "optimized geometry", "lattice": [[3.4767, 0.0000, 0.0000], [1.7384, 3.0109, 0.0000], [1.7384, 1.0036, 9.3390]], "species": ["Ag", "Ag", "Bi", "Tl"], "fractional_positions": [[0.2485, 0.2485, 0.2544], [0.7515, 0.7515, 0.7456], [0.0000, 0.0000, 0.0000], [0.5000, 0.5000, 0.5000]], "crystal_system": "trigonal", "n_ef_per_ev_cell": 1.4, "m_tot_mub_per_fu": 0.000, "formation_energy_ev_per_atom": 0.16, "final_energy_ev_per_atom": -2.8293}